[1]
Computed, not measured: Tl6AgHg12 after structural relaxation at the PBE level of DFT.

POSCAR file:
```
Tl6AgHg12
1.0
7.064 4.079 3.236
-7.064 4.079 3.236
0.000 -8.157 3.236
Tl Ag Hg
6 1 12
direct
0.196 0.616 0.425
0.384 0.575 0.804
0.425 0.196 0.616
0.575 0.804 0.384
0.616 0.425 0.196
0.804 0.384 0.575
0.000 0.000 0.000
0.058 0.234 0.443
0.082 0.872 0.284
0.128 0.716 0.918
0.234 0.443 0.058
0.284 0.082 0.872
0.443 0.058 0.234
0.557 0.942 0.766
0.716 0.918 0.128
0.766 0.557 0.942
0.872 0.284 0.082
0.918 0.128 0.716
0.942 0.766 0.557
```

Properties
As for the density of states at the Fermi level: 0.252 states/eV per atom. As for the crystal system: trigonal. Its energy above the most stable polymorph in this dataset is 0.006 eV per atom.

***

[2]
Computed, not measured: Yb5P12Ir19 after structural relaxation at the PBE level of DFT.

POSCAR file:
```
Yb5P12Ir19
1.0
12.675 0.000 0.000
-6.338 10.977 0.000
0.000 0.000 3.988
Yb P Ir
5 12 19
direct
0.000 0.818 0.000
0.182 0.182 0.000
0.333 0.667 0.500
0.667 0.333 0.500
0.818 0.000 0.000
0.000 0.180 0.500
0.000 0.644 0.500
0.173 0.486 0.000
0.180 0.000 0.500
0.312 0.827 0.000
0.356 0.356 0.500
0.486 0.173 0.000
0.514 0.688 0.000
0.644 0.000 0.500
0.688 0.514 0.000
0.820 0.820 0.500
0.827 0.312 0.000
0.000 0.000 0.500
0.000 0.289 0.000
0.000 0.463 0.500
0.130 0.640 0.000
0.180 0.378 0.500
0.197 0.820 0.500
0.289 0.000 0.000
0.360 0.491 0.000
0.378 0.180 0.500
0.463 0.000 0.500
0.491 0.360 0.000
0.509 0.870 0.000
0.537 0.537 0.500
0.622 0.803 0.500
0.640 0.130 0.000
0.711 0.711 0.000
0.803 0.622 0.500
0.820 0.197 0.500
0.870 0.509 0.000
```

Properties
Its total energy is -267.772 eV per cell. As for the density of states at the Fermi level: 1.983 states/eV per atom. As for the crystal system: hexagonal.

***

[3]
Computed, not measured: TlOsPb2 after structural relaxation at the PBE level of DFT.

POSCAR file:
```
TlOsPb2
1.0
1.691 0.976 10.447
-1.691 0.976 10.447
0.000 -1.953 10.447
Tl Os Pb
1 1 2
direct
0.000 0.000 0.000
0.500 0.500 0.500
0.233 0.233 0.233
0.767 0.767 0.767
```

Properties
As for the density of states at the Fermi level: 1.035 states/eV per atom. As for the crystal system: trigonal. Its energy above the most stable polymorph in this dataset is 0.085 eV per atom.

***

[4]
Computed, not measured: RbGa6H2 after structural relaxation at the PBE level of DFT.

POSCAR file:
```
RbGa6H2
1.0
4.889 0.000 0.000
-2.358 5.958 0.000
-1.891 -2.045 6.032
Rb Ga H
1 6 2
direct
0.000 0.000 0.000
0.179 0.581 0.746
0.199 0.894 0.531
0.351 0.683 0.190
0.649 0.317 0.810
0.801 0.106 0.469
0.821 0.419 0.254
0.497 0.478 0.267
0.503 0.522 0.733
```

Properties
Its total energy is -25.649 eV per cell. As for the density of states at the Fermi level: 0.227 states/eV per atom. As for the crystal system: triclinic.

***

[5]
Computed, not measured: Fe2ReIr after structural relaxation at the PBE level of DFT.

POSCAR file:
```
Fe2ReIr
1.0
4.008 0.000 0.000
0.000 1.321 4.798
0.000 -1.321 4.798
Fe Re Ir
2 1 1
direct
0.000 0.000 0.000
0.500 0.122 0.122
0.500 0.388 0.388
0.000 0.733 0.733
```

Properties
Its total energy is -38.266 eV per cell. As for the density of states at the Fermi level: 0.898 states/eV per atom. As for the crystal system: orthorhombic.

***

[6]
Computed, not measured: Y2ErHg4 after structural relaxation at the PBE level of DFT.

POSCAR file:
```
Y2ErHg4
1.0
2.540 1.466 8.681
-2.540 1.466 8.681
0.000 -2.933 8.681
Y Er Hg
2 1 4
direct
0.245 0.245 0.245
0.755 0.755 0.755
0.000 0.000 0.000
0.126 0.126 0.126
0.374 0.374 0.374
0.626 0.626 0.626
0.874 0.874 0.874
```

Properties
Its total energy is -21.141 eV per cell. As for the density of states at the Fermi level: 0.763 states/eV per atom. As for the crystal system: trigonal.